Ac6TbTm: optimized geometry, PBE-GGA.

Lattice parameters (Å, degrees): 5.569 5.569 21.400 90.00 90.00 90.00
Space group I4/mmm (No. 139)
Symmetry-distinct sites (fractional):
Ac 0.000 0.000 0.250
Ac 0.000 0.500 0.116
Tb 0.000 0.000 0.000
Tm 0.000 0.000 0.500

E_tot: -4.17 eV per atom
theoretical density: 8.45 g/cm³
energy of formation: 0.393 eV/f.u.

***

KPrPuI6: optimized geometry, PBE-GGA.

Lattice parameters (Å, degrees): 8.0806 8.0806 15.8366 90.00 90.00 120.00
Space group P-31c (No. 163)
Symmetry-distinct sites (fractional):
K 0.0000 0.0000 0.0000
Pr 0.3333 0.6667 0.2500
Pu 0.3333 0.6667 0.7500
I 0.0026 0.3628 0.1329

ΔE_f (raw): -1.305 eV/atom
E_tot: -4.58 eV per atom
theoretical density: 4.40 g/cm³

***

ErTm3Tl4: optimized geometry, PBE-GGA.

Lattice parameters (Å, degrees): 3.488 7.095 18.393 90.00 90.00 90.00
Space group Immm (No. 71)
Symmetry-distinct sites (fractional):
Er 0.000 0.000 0.000
Tm 0.000 0.000 0.500
Tm 0.000 0.500 0.278
Tl 0.000 0.281 0.127

polymorph energy (0 for the lowest one): 0.114 eV/atom
E_tot: -3.61 eV per atom
theoretical density: 10.88 g/cm³
energy of formation: -1.463 eV/f.u.

***

Ti2NbSi: optimized geometry, PBE-GGA.

Lattice parameters (Å, degrees): 4.240 4.240 3.525 90.00 90.00 90.00
Space group P4/mmm (No. 123)
Symmetry-distinct sites (fractional):
Ti 0.000 0.500 0.000
Nb 0.000 0.000 0.500
Si 0.500 0.500 0.500

ΔE_f (raw): -0.441 eV/atom
E_tot: -8.26 eV per atom
theoretical density: 5.68 g/cm³

***

Li4NdZn8: optimized geometry, PBE-GGA.

Lattice parameters (Å, degrees): 9.343 9.343 4.754 90.00 90.00 90.00
Space group I4/mmm (No. 139)
Symmetry-distinct sites (fractional):
Li 0.250 0.250 0.250
Nd 0.000 0.000 0.000
Zn 0.000 0.223 0.500
Zn 0.000 0.358 0.000

E_tot: -1.94 eV per atom
theoretical density: 5.56 g/cm³
energy of formation: -2.665 eV/f.u.

***

TcSBr2: optimized geometry, PBE-GGA.

Lattice parameters (Å, degrees): 6.963 6.963 6.963 90.00 90.00 90.00
Space group Fm-3m (No. 225)
Symmetry-distinct sites (fractional):
Tc 0.000 0.000 0.000
S 0.000 0.000 0.500
Br 0.250 0.250 0.250

ΔE_f (raw): 0.994 eV/atom
polymorph energy (0 for the lowest one): 1.029 eV/atom
E_tot: -3.47 eV per atom
theoretical density: 5.70 g/cm³

***

PmSmCuAg: optimized geometry, PBE-GGA.

Lattice parameters (Å, degrees): 3.635 3.635 7.302 90.00 90.00 90.00
Space group P4mm (No. 99)
Symmetry-distinct sites (fractional):
Pm 0.000 0.000 0.000
Sm 0.000 0.000 0.472
Cu 0.500 0.500 0.240
Ag 0.500 0.500 0.733

polymorph energy (0 for the lowest one): 0.000 eV/atom
E_tot: -4.33 eV per atom
theoretical density: 8.03 g/cm³
energy of formation: -0.893 eV/f.u.

***

LuHfMnCu: optimized geometry, PBE-GGA.

Lattice parameters (Å, degrees): 6.504 6.504 6.504 90.00 90.00 90.00
Space group F-43m (No. 216)
Symmetry-distinct sites (fractional):
Lu 0.000 0.000 0.000
Hf 0.000 0.000 0.500
Mn 0.250 0.250 0.750
Cu 0.250 0.250 0.250

E_tot: -6.95 eV per atom
theoretical density: 11.39 g/cm³
energy of formation: -0.066 eV/f.u.

***

KCuSn2: optimized geometry, PBE-GGA.

Lattice parameters (Å, degrees): 5.843 5.843 17.204 90.00 90.00 90.00
Space group I4_1/amd (No. 141, origin choice 2)
Symmetry-distinct sites (fractional):
K 0.000 0.250 0.375
Cu 0.000 0.250 0.875
Sn 0.000 0.000 0.000

E_tot: -3.18 eV per atom
theoretical density: 3.85 g/cm³
energy of formation: 0.471 eV/f.u.

***

YHfAu: optimized geometry, PBE-GGA.

Lattice parameters (Å, degrees): 6.125 7.755 5.938 90.00 90.00 90.00
Space group Ima2 (No. 46)
Symmetry-distinct sites (fractional):
Y 0.250 0.135 0.000
Hf 0.250 0.716 0.796
Au 0.000 0.000 0.564

polymorph energy (0 for the lowest one): 0.089 eV/atom
E_tot: -6.95 eV per atom
theoretical density: 10.94 g/cm³
energy of formation: -1.163 eV/f.u.

***

Q: What is the formula in the fourth record?
A: Ti2NbSi